The following is a PBE with a Hubbard U calculation of a relaxed In2SnWO crystal, from Alexandria.

abc: 5.7387 5.7387 3.8212
angles: 90.00 90.00 90.00
Closest atoms and distances in Å follow each position.
Atoms (fractional coordinates):
In 0.0000 0.5000 0.0000  2 W 2.87
In 0.5000 0.0000 0.0000  2 W 2.87
Sn 0.0000 0.0000 0.5000  8 In 3.45, 2 Sn 3.82
W 0.5000 0.5000 0.0000  2 O 1.91
O 0.5000 0.5000 0.5000  2 W 1.91

The space group is P4/mmm, No. 123. The raw total energy is -4.37 eV per atom. For the spin magnetization, the calculation gives 1.81 μB per formula unit.